# SrNi2P2H4O10 (PBE with a Hubbard U, relaxed)
# Fermi-level density of states	0.00	states/eV/f.u.
# symmetry	C2/m (12)
# total moment	0.2102	μB/atom
# V	186.16	Å³/cell
# DFT total energy	-115.108	eV/cell
# mass density	3.84	g/cm³
data_SrNi2P2H4O10
_symmetry_space_group_name_H-M 'P 1'
_symmetry_Int_Tables_number 1
_cell_length_a 5.4420
_cell_length_b 5.4420
_cell_length_c 7.4385
_cell_angle_alpha 109.93
_cell_angle_beta 109.93
_cell_angle_gamma 67.98
loop_
_symmetry_equiv_pos_as_xyz
'x,y,z'
loop_
_atom_site_label
_atom_site_fract_x
_atom_site_fract_y
_atom_site_fract_z
Sr1 0.0000 0.0000 0.0000
Ni1 0.0000 0.5000 0.5000
Ni2 0.5000 0.0000 0.5000
P1 0.4122 0.4122 0.2225
P2 0.5878 0.5878 0.7775
H1 0.0769 0.0769 0.6348
H2 0.2557 0.2557 0.7956
H3 0.7443 0.7443 0.2044
H4 0.9231 0.9231 0.3652
O1 0.1874 0.1874 0.6409
O2 0.2692 0.6921 0.7265
O3 0.2949 0.2949 0.0031
O4 0.2980 0.2980 0.3372
O5 0.3079 0.7308 0.2735
O6 0.6921 0.2692 0.7265
O7 0.7020 0.7020 0.6628
O8 0.7051 0.7051 0.9969
O9 0.7308 0.3079 0.2735
O10 0.8126 0.8126 0.3591


# V2NiP2H6O13 (PBE with a Hubbard U, relaxed)
# Fermi-level density of states	0.00	states/eV/f.u.
# symmetry	Pnma (62)
# total moment	0.1667	μB/atom
# V	972.13	Å³/cell
# DFT total energy	-610.659	eV/cell
# mass density	2.98	g/cm³
data_V2NiP2H6O13
_symmetry_space_group_name_H-M 'P 1'
_symmetry_Int_Tables_number 1
_cell_length_a 10.4650
_cell_length_b 9.5162
_cell_length_c 9.7617
_cell_angle_alpha 90.00
_cell_angle_beta 90.00
_cell_angle_gamma 90.00
loop_
_symmetry_equiv_pos_as_xyz
'x,y,z'
loop_
_atom_site_label
_atom_site_fract_x
_atom_site_fract_y
_atom_site_fract_z
V1 0.0323 0.2500 0.0887
V2 0.1602 0.7500 0.2243
V3 0.3398 0.2500 0.7243
V4 0.4677 0.7500 0.5887
V5 0.5323 0.2500 0.4113
V6 0.6602 0.7500 0.2757
V7 0.8398 0.2500 0.7757
V8 0.9677 0.7500 0.9113
Ni1 0.2483 0.7500 0.8711
Ni2 0.2517 0.2500 0.3711
Ni3 0.7483 0.7500 0.6289
Ni4 0.7517 0.2500 0.1289
P1 0.0900 0.0500 0.8164
P2 0.0900 0.4500 0.8164
P3 0.4100 0.5500 0.3164
P4 0.4100 0.9500 0.3164
P5 0.5900 0.0500 0.6836
P6 0.5900 0.4500 0.6836
P7 0.9100 0.5500 0.1836
P8 0.9100 0.9500 0.1836
H1 0.0624 0.7500 0.4958
H2 0.1038 0.0224 0.3848
H3 0.1038 0.4776 0.3848
H4 0.1576 0.0635 0.5348
H5 0.1576 0.4365 0.5348
H6 0.2125 0.7500 0.5262
H7 0.2875 0.2500 0.0262
H8 0.3424 0.5635 0.0348
H9 0.3424 0.9365 0.0348
H10 0.3962 0.5224 0.8848
H11 0.3962 0.9776 0.8848
H12 0.4376 0.2500 0.9958
H13 0.5624 0.7500 0.0042
H14 0.6038 0.0224 0.1152
H15 0.6038 0.4776 0.1152
H16 0.6576 0.0635 0.9652
H17 0.6576 0.4365 0.9652
H18 0.7125 0.7500 0.9738
H19 0.7875 0.2500 0.4738
H20 0.8424 0.5635 0.4652
H21 0.8424 0.9365 0.4652
H22 0.8962 0.5224 0.6152
H23 0.8962 0.9776 0.6152
H24 0.9376 0.2500 0.5042
O1 0.0340 0.5950 0.2588
O2 0.0340 0.9050 0.2588
O3 0.0928 0.6150 0.8166
O4 0.0928 0.8850 0.8166
O5 0.0953 0.1043 0.9637
O6 0.0953 0.3957 0.9637
O7 0.1278 0.1010 0.4466
O8 0.1278 0.3990 0.4466
O9 0.1418 0.7500 0.0509
O10 0.1474 0.7500 0.4539
O11 0.1592 0.2500 0.1936
O12 0.2078 0.0982 0.7335
O13 0.2078 0.4018 0.7335
O14 0.2922 0.5982 0.2335
O15 0.2922 0.9018 0.2335
O16 0.3408 0.7500 0.6936
O17 0.3526 0.2500 0.9539
O18 0.3582 0.2500 0.5509
O19 0.3722 0.6010 0.9466
O20 0.3722 0.8990 0.9466
O21 0.4047 0.6043 0.4637
O22 0.4047 0.8957 0.4637
O23 0.4072 0.1150 0.3166
O24 0.4072 0.3850 0.3166
O25 0.4660 0.0950 0.7588
O26 0.4660 0.4050 0.7588
O27 0.5340 0.5950 0.2412
O28 0.5340 0.9050 0.2412
O29 0.5928 0.6150 0.6834
O30 0.5928 0.8850 0.6834
O31 0.5953 0.1043 0.5363
O32 0.5953 0.3957 0.5363
O33 0.6278 0.1010 0.0534
O34 0.6278 0.3990 0.0534
O35 0.6418 0.7500 0.4491
O36 0.6474 0.7500 0.0461
O37 0.6592 0.2500 0.3064
O38 0.7078 0.0982 0.7665
O39 0.7078 0.4018 0.7665
O40 0.7922 0.5982 0.2665
O41 0.7922 0.9018 0.2665
O42 0.8408 0.7500 0.8064
O43 0.8526 0.2500 0.5461
O44 0.8582 0.2500 0.9491
O45 0.8722 0.6010 0.5534
O46 0.8722 0.8990 0.5534
O47 0.9047 0.6043 0.0363
O48 0.9047 0.8957 0.0363
O49 0.9072 0.1150 0.1834
O50 0.9072 0.3850 0.1834
O51 0.9660 0.0950 0.7412
O52 0.9660 0.4050 0.7412


# PaNiHO4 (PBE with a Hubbard U, relaxed)
# Fermi-level density of states	0.00	states/eV/f.u.
# symmetry	Imma (74)
# total moment	0.0005	μB/atom
# V	194.27	Å³/cell
# DFT total energy	-99.385	eV/cell
# mass density	6.06	g/cm³
data_PaNiHO4
_symmetry_space_group_name_H-M 'P 1'
_symmetry_Int_Tables_number 1
_cell_length_a 6.8551
_cell_length_b 6.8551
_cell_length_c 6.8551
_cell_angle_alpha 135.58
_cell_angle_beta 117.16
_cell_angle_gamma 80.17
loop_
_symmetry_equiv_pos_as_xyz
'x,y,z'
loop_
_atom_site_label
_atom_site_fract_x
_atom_site_fract_y
_atom_site_fract_z
Pa1 0.0000 0.0000 0.0000
Pa2 0.5000 0.0000 0.5000
Ni1 0.5000 0.0000 0.0000
Ni2 0.5000 0.5000 0.5000
H1 0.2183 0.4683 0.7500
H2 0.7817 0.5317 0.2500
O1 0.2245 0.2380 0.5135
O2 0.2245 0.7109 0.9865
O3 0.2645 0.1959 0.0686
O4 0.3727 0.8041 0.5686
O5 0.6273 0.1959 0.4314
O6 0.7355 0.8041 0.9314
O7 0.7755 0.2891 0.0135
O8 0.7755 0.7620 0.4865


# PaNiH2O5 (PBE with a Hubbard U, relaxed)
# Fermi-level density of states	1.20	states/eV/f.u.
# symmetry	P4/mmm (123)
# total moment	0.3254	μB/atom
# V	142.09	Å³/cell
# DFT total energy	-57.269	eV/cell
# mass density	4.34	g/cm³
data_PaNiH2O5
_symmetry_space_group_name_H-M 'P 1'
_symmetry_Int_Tables_number 1
_cell_length_a 4.2269
_cell_length_b 4.2269
_cell_length_c 7.9527
_cell_angle_alpha 90.00
_cell_angle_beta 90.00
_cell_angle_gamma 90.00
loop_
_symmetry_equiv_pos_as_xyz
'x,y,z'
loop_
_atom_site_label
_atom_site_fract_x
_atom_site_fract_y
_atom_site_fract_z
Pa1 0.0000 0.0000 0.0000
Ni1 0.0000 0.0000 0.5000
H1 0.5000 0.5000 0.3797
H2 0.5000 0.5000 0.6203
O1 0.0000 0.0000 0.2879
O2 0.0000 0.0000 0.7121
O3 0.0000 0.5000 0.0000
O4 0.5000 0.0000 0.0000
O5 0.5000 0.5000 0.5000


# Rb2NiH12S2O14 (PBE with a Hubbard U, relaxed)
# Fermi-level density of states	0.00	states/eV/f.u.
# symmetry	P2_1/c (14)
# total moment	0.0544	μB/atom
# V	698.24	Å³/cell
# DFT total energy	-326.545	eV/cell
# mass density	2.52	g/cm³
data_Rb2NiH12S2O14
_symmetry_space_group_name_H-M 'P 1'
_symmetry_Int_Tables_number 1
_cell_length_a 6.3197
_cell_length_b 12.4994
_cell_length_c 9.1629
_cell_angle_alpha 90.00
_cell_angle_beta 105.27
_cell_angle_gamma 90.00
loop_
_symmetry_equiv_pos_as_xyz
'x,y,z'
loop_
_atom_site_label
_atom_site_fract_x
_atom_site_fract_y
_atom_site_fract_z
Rb1 0.1575 0.1507 0.3706
Rb2 0.1575 0.3493 0.8706
Rb3 0.8425 0.6507 0.1294
Rb4 0.8425 0.8493 0.6294
Ni1 0.5000 0.0000 0.0000
Ni2 0.5000 0.5000 0.5000
H1 0.1686 0.5604 0.6037
H2 0.1686 0.9396 0.1037
H3 0.1811 0.0926 0.7882
H4 0.1811 0.4074 0.2882
H5 0.1820 0.6418 0.4745
H6 0.1820 0.8582 0.9745
H7 0.4127 0.1268 0.7583
H8 0.4127 0.3732 0.2583
H9 0.4214 0.5972 0.2254
H10 0.4214 0.9028 0.7254
H11 0.4873 0.6863 0.3524
H12 0.4873 0.8137 0.8524
H13 0.5127 0.1863 0.1476
H14 0.5127 0.3137 0.6476
H15 0.5786 0.0972 0.2746
H16 0.5786 0.4028 0.7746
H17 0.5873 0.6268 0.7417
H18 0.5873 0.8732 0.2417
H19 0.8180 0.1418 0.0255
H20 0.8180 0.3582 0.5255
H21 0.8189 0.5926 0.7118
H22 0.8189 0.9074 0.2118
H23 0.8314 0.0604 0.8963
H24 0.8314 0.4396 0.3963
S1 0.2295 0.6410 0.9019
S2 0.2295 0.8590 0.4019
S3 0.7705 0.1410 0.5981
S4 0.7705 0.3590 0.0981
O1 0.0909 0.7360 0.9126
O2 0.0909 0.7640 0.4126
O3 0.1055 0.5721 0.7735
O4 0.1055 0.9279 0.2735
O5 0.2071 0.5654 0.5054
O6 0.2071 0.9346 0.0054
O7 0.2715 0.5769 0.0435
O8 0.2715 0.9231 0.5435
O9 0.3361 0.1123 0.8378
O10 0.3361 0.3877 0.3378
O11 0.4414 0.6772 0.8732
O12 0.4414 0.8228 0.3732
O13 0.4811 0.1112 0.1715
O14 0.4811 0.3888 0.6715
O15 0.5189 0.6112 0.3285
O16 0.5189 0.8888 0.8285
O17 0.5586 0.1772 0.6268
O18 0.5586 0.3228 0.1268
O19 0.6639 0.6123 0.6622
O20 0.6639 0.8877 0.1622
O21 0.7285 0.0769 0.4565
O22 0.7285 0.4231 0.9565
O23 0.7929 0.0654 0.9946
O24 0.7929 0.4346 0.4946
O25 0.8945 0.0721 0.7265
O26 0.8945 0.4279 0.2265
O27 0.9091 0.2360 0.5874
O28 0.9091 0.2640 0.0874


# Ni2HRuO (PBE with a Hubbard U, relaxed)
# Fermi-level density of states	2.40	states/eV/f.u.
# symmetry	P4/mmm (123)
# total moment	0.6805	μB/atom
# V	54.84	Å³/cell
# DFT total energy	-18.600	eV/cell
# mass density	7.13	g/cm³
data_Ni2HRuO
_symmetry_space_group_name_H-M 'P 1'
_symmetry_Int_Tables_number 1
_cell_length_a 3.6789
_cell_length_b 3.6789
_cell_length_c 4.0517
_cell_angle_alpha 90.00
_cell_angle_beta 90.00
_cell_angle_gamma 90.00
loop_
_symmetry_equiv_pos_as_xyz
'x,y,z'
loop_
_atom_site_label
_atom_site_fract_x
_atom_site_fract_y
_atom_site_fract_z
Ni1 0.0000 0.5000 0.0000
Ni2 0.5000 0.0000 0.0000
H1 0.0000 0.0000 0.5000
Ru1 0.5000 0.5000 0.5000
O1 0.0000 0.0000 0.0000


# NiH12S2O14 (PBE with a Hubbard U, relaxed)
# Fermi-level density of states	8.97	states/eV/f.u.
# symmetry	P2_1/c (14)
# total moment	0.1223	μB/atom
# V	701.28	Å³/cell
# DFT total energy	-302.025	eV/cell
# mass density	1.70	g/cm³
data_NiH12S2O14
_symmetry_space_group_name_H-M 'P 1'
_symmetry_Int_Tables_number 1
_cell_length_a 6.3200
_cell_length_b 12.5643
_cell_length_c 9.1728
_cell_angle_alpha 90.00
_cell_angle_beta 105.68
_cell_angle_gamma 90.00
loop_
_symmetry_equiv_pos_as_xyz
'x,y,z'
loop_
_atom_site_label
_atom_site_fract_x
_atom_site_fract_y
_atom_site_fract_z
Ni1 0.0000 0.0000 0.0000
Ni2 0.0000 0.5000 0.5000
H1 0.0306 0.1894 0.8740
H2 0.0306 0.3106 0.3740
H3 0.0424 0.6062 0.7593
H4 0.0424 0.8938 0.2593
H5 0.0889 0.1193 0.2513
H6 0.0889 0.3807 0.7513
H7 0.3149 0.0834 0.2188
H8 0.3149 0.4166 0.7188
H9 0.3246 0.6371 0.5238
H10 0.3246 0.8629 0.0238
H11 0.3316 0.5530 0.3966
H12 0.3316 0.9470 0.8966
H13 0.6684 0.0530 0.1034
H14 0.6684 0.4470 0.6034
H15 0.6754 0.1371 0.9762
H16 0.6754 0.3629 0.4762
H17 0.6851 0.5834 0.2812
H18 0.6851 0.9166 0.7812
H19 0.9111 0.6193 0.2487
H20 0.9111 0.8807 0.7487
H21 0.9576 0.1062 0.7407
H22 0.9576 0.3938 0.2407
H23 0.9694 0.6894 0.6260
H24 0.9694 0.8106 0.1260
S1 0.2617 0.6352 0.0944
S2 0.2617 0.8648 0.5944
S3 0.7383 0.1352 0.4056
S4 0.7383 0.3648 0.9056
O1 0.0439 0.1142 0.8471
O2 0.0439 0.3858 0.3471
O3 0.0539 0.6709 0.1224
O4 0.0539 0.8291 0.6224
O5 0.1591 0.1009 0.1705
O6 0.1591 0.3991 0.6705
O7 0.2218 0.5788 0.9455
O8 0.2218 0.9212 0.4455
O9 0.2964 0.5615 0.4950
O10 0.2964 0.9385 0.9950
O11 0.3908 0.5675 0.2181
O12 0.3908 0.9325 0.7181
O13 0.3985 0.7278 0.0701
O14 0.3985 0.7722 0.5701
O15 0.6015 0.2278 0.4299
O16 0.6015 0.2722 0.9299
O17 0.6092 0.0675 0.2819
O18 0.6092 0.4325 0.7819
O19 0.7036 0.0615 0.0050
O20 0.7036 0.4385 0.5050
O21 0.7782 0.0788 0.5545
O22 0.7782 0.4212 0.0545
O23 0.8409 0.6009 0.3295
O24 0.8409 0.8991 0.8295
O25 0.9461 0.1709 0.3776
O26 0.9461 0.3291 0.8776
O27 0.9561 0.6142 0.6529
O28 0.9561 0.8858 0.1529


# NiH12SO9 (PBE with a Hubbard U, relaxed)
# Fermi-level density of states	0.00	states/eV/f.u.
# symmetry	R3 (146)
# total moment	0.0878	μB/atom
# V	205.13	Å³/cell
# DFT total energy	-116.627	eV/cell
# mass density	2.00	g/cm³
data_NiH12SO9
_symmetry_space_group_name_H-M 'P 1'
_symmetry_Int_Tables_number 1
_cell_length_a 5.9244
_cell_length_b 5.9244
_cell_length_c 5.9244
_cell_angle_alpha 95.27
_cell_angle_beta 95.27
_cell_angle_gamma 95.27
loop_
_symmetry_equiv_pos_as_xyz
'x,y,z'
loop_
_atom_site_label
_atom_site_fract_x
_atom_site_fract_y
_atom_site_fract_z
Ni1 0.0000 0.0000 0.0000
H1 0.0204 0.5438 0.9493
H2 0.0592 0.4002 0.2670
H3 0.1305 0.6326 0.7312
H4 0.1800 0.7945 0.3650
H5 0.2670 0.0592 0.4002
H6 0.3650 0.1800 0.7945
H7 0.4002 0.2670 0.0592
H8 0.5438 0.9493 0.0204
H9 0.6326 0.7312 0.1305
H10 0.7312 0.1305 0.6326
H11 0.7945 0.3650 0.1800
H12 0.9493 0.0204 0.5438
S1 0.4897 0.4897 0.4897
O1 0.0816 0.6814 0.8824
O2 0.1328 0.9480 0.3342
O3 0.2385 0.5494 0.4702
O4 0.3342 0.1328 0.9480
O5 0.4702 0.2385 0.5494
O6 0.5494 0.4702 0.2385
O7 0.6814 0.8824 0.0816
O8 0.8824 0.0816 0.6814
O9 0.9480 0.3342 0.1328


# Ni3H2Se3O10 (PBE with a Hubbard U, relaxed)
# Fermi-level density of states	0.00	states/eV/f.u.
# symmetry	P-1 (2)
# total moment	0.3333	μB/atom
# V	458.31	Å³/cell
# DFT total energy	-184.131	eV/cell
# mass density	4.17	g/cm³
data_Ni3H2Se3O10
_symmetry_space_group_name_H-M 'P 1'
_symmetry_Int_Tables_number 1
_cell_length_a 8.1055
_cell_length_b 8.2464
_cell_length_c 8.5093
_cell_angle_alpha 69.74
_cell_angle_beta 62.85
_cell_angle_gamma 67.92
loop_
_symmetry_equiv_pos_as_xyz
'x,y,z'
loop_
_atom_site_label
_atom_site_fract_x
_atom_site_fract_y
_atom_site_fract_z
Ni1 0.0000 0.0000 0.0000
Ni2 0.1534 0.5370 0.3019
Ni3 0.2109 0.3658 0.8907
Ni4 0.5000 0.5000 0.5000
Ni5 0.7891 0.6342 0.1093
Ni6 0.8466 0.4630 0.6981
H1 0.4399 0.3108 0.0958
H2 0.4649 0.6234 0.8131
H3 0.5351 0.3766 0.1869
H4 0.5601 0.6892 0.9042
Se1 0.0691 0.7351 0.7366
Se2 0.2966 0.1691 0.5612
Se3 0.3261 0.8293 0.2013
Se4 0.6739 0.1707 0.7987
Se5 0.7034 0.8309 0.4388
Se6 0.9309 0.2649 0.2634
O1 0.0361 0.4481 0.1698
O2 0.0532 0.1896 0.0624
O3 0.0946 0.3280 0.5252
O4 0.1974 0.7856 0.1115
O5 0.2073 0.0139 0.7439
O6 0.2937 0.6024 0.7427
O7 0.3051 0.6389 0.3790
O8 0.3658 0.2884 0.6466
O9 0.4130 0.3705 0.1934
O10 0.4437 0.2271 0.9552
O11 0.5563 0.7729 0.0448
O12 0.5870 0.6295 0.8066
O13 0.6342 0.7116 0.3534
O14 0.6949 0.3611 0.6210
O15 0.7063 0.3976 0.2573
O16 0.7927 0.9861 0.2561
O17 0.8026 0.2144 0.8885
O18 0.9054 0.6720 0.4748
O19 0.9468 0.8104 0.9376
O20 0.9639 0.5519 0.8302


# NiH2SeO5 (PBE with a Hubbard U, relaxed)
# Fermi-level density of states	0.00	states/eV/f.u.
# symmetry	C2/c (15)
# total moment	0.2188	μB/atom
# energy above the most stable polymorph in this dataset	104.8	kJ/mol of formula units
# V	191.16	Å³/cell
# mass density	3.82	g/cm³
data_NiH2SeO5
_symmetry_space_group_name_H-M 'P 1'
_symmetry_Int_Tables_number 1
_cell_length_a 5.1698
_cell_length_b 5.1698
_cell_length_c 7.9397
_cell_angle_alpha 108.20
_cell_angle_beta 108.20
_cell_angle_gamma 87.56
loop_
_symmetry_equiv_pos_as_xyz
'x,y,z'
loop_
_atom_site_label
_atom_site_fract_x
_atom_site_fract_y
_atom_site_fract_z
Ni1 0.0000 0.0000 0.0000
Ni2 0.0000 0.0000 0.5000
H1 0.2725 0.5046 0.0000
H2 0.4954 0.7275 0.5000
H3 0.5046 0.2725 0.5000
H4 0.7275 0.4954 0.0000
Se1 0.3120 0.6880 0.7500
Se2 0.6880 0.3120 0.2500
O1 0.0676 0.9324 0.7500
O2 0.1808 0.6379 0.9354
O3 0.2579 0.3619 0.6117
O4 0.3619 0.2579 0.1117
O5 0.3621 0.8192 0.5646
O6 0.6379 0.1808 0.4354
O7 0.6381 0.7421 0.8883
O8 0.7421 0.6381 0.3883
O9 0.8192 0.3621 0.0646
O10 0.9324 0.0676 0.2500


# NiH2SeO5 (PBE with a Hubbard U, relaxed)
# Fermi-level density of states	0.00	states/eV/f.u.
# symmetry	C2/c (15)
# total moment	0.2209	μB/atom
# energy above the most stable polymorph in this dataset	0.0	kJ/mol of formula units
# V	194.21	Å³/cell
# mass density	3.76	g/cm³
data_NiH2SeO5
_symmetry_space_group_name_H-M 'P 1'
_symmetry_Int_Tables_number 1
_cell_length_a 5.3624
_cell_length_b 5.3624
_cell_length_c 7.6488
_cell_angle_alpha 106.90
_cell_angle_beta 106.90
_cell_angle_gamma 99.04
loop_
_symmetry_equiv_pos_as_xyz
'x,y,z'
loop_
_atom_site_label
_atom_site_fract_x
_atom_site_fract_y
_atom_site_fract_z
Ni1 0.0000 0.5000 0.0000
Ni2 0.5000 0.0000 0.5000
H1 0.0304 0.1360 0.7026
H2 0.1360 0.0304 0.2026
H3 0.8640 0.9696 0.7974
H4 0.9696 0.8640 0.2974
Se1 0.4174 0.5826 0.7500
Se2 0.5826 0.4174 0.2500
O1 0.1261 0.8739 0.2500
O2 0.2419 0.3126 0.1538
O3 0.2931 0.6877 0.9257
O4 0.3123 0.7069 0.5743
O5 0.3126 0.2419 0.6538
O6 0.6874 0.7581 0.3462
O7 0.6877 0.2931 0.4257
O8 0.7069 0.3123 0.0743
O9 0.7581 0.6874 0.8462
O10 0.8739 0.1261 0.7500